BeCd2Ag: optimized geometry, PBE.

Lattice parameters (Å, degrees): 5.0284 5.0284 5.0284 131.73 131.73 70.66
Last column: nearest neighbours and their distance in Å.
Fractional coordinates of all 4 atoms:
Be  0.0000  0.0000  0.0000  8 Cd 2.90-2.91, 4 Ag 2.90
Cd  0.2500  0.7500  0.5000  4 Cd 2.90, 4 Be 2.90, 4 Ag 2.91
Cd  0.5000  0.5000  0.0000  4 Cd 2.90, 4 Ag 2.90, 4 Be 2.91
Ag  0.7500  0.2500  0.5000  8 Cd 2.90-2.91, 4 Be 2.90

The energy relative to the elements is 1.1 eV/f.u. The space group is No. 119. The total energy comes out at -1.8267 eV/atom. The calculation puts the calculated density at 8.2 g/cm3. As for the total magnetic moment: 0.0 Bohr magnetons per cell.

***

CuTcRh2: optimized geometry, PBE.

Lattice parameters (Å, degrees): 8.8816 8.8816 8.8816 17.60 17.60 17.60
Last column: nearest neighbours and their distance in Å.
Fractional coordinates of all 4 atoms:
Cu  0.0000  0.0000  0.0000  3 Rh 2.65, 3 Tc 2.70, 6 Cu 2.72
Tc  0.7506  0.7506  0.7506  3 Rh 2.62, 3 Cu 2.70, 6 Tc 2.72
Rh  0.2518  0.2518  0.2518  3 Cu 2.65, 9 Rh 2.72-2.78
Rh  0.4975  0.4975  0.4975  3 Tc 2.62, 9 Rh 2.72-2.78

The energy relative to the elements is 0.3 eV/f.u. The space group is No. 160. The total energy comes out at -7.2185 eV/atom. The calculation puts the calculated density at 10.9 g/cm3. As for the total magnetic moment: 0.5 Bohr magnetons per cell. Its energy above the lowest structure with this stoichiometry is 0.139 eV per atom.